Record 1
# Co2AgAs, optimized geometry, DFT GGA-PBEsol
# Crystal system ... tetragonal
# DFT formation energy ... 0.112 eV per atom
# Electronic total energy ... -23.45 eV for the cell shown
data_Co2AgAs
_chemical_formula_sum 'Co2 Ag1 As1'
_cell_length_a 2.833
_cell_length_b 2.833
_cell_length_c 6.324
_cell_angle_alpha 90.00
_cell_angle_beta 90.00
_cell_angle_gamma 90.00
_space_group_name_H-M_alt 'P 4/m m m'
_space_group_IT_number 123
_space_group_name_Hall '-P 4 2'
loop_
_atom_site_label
_atom_site_fract_x
_atom_site_fract_y
_atom_site_fract_z
Co1 0.000 0.000 0.205
Ag1 0.500 0.500 0.500
As1 0.500 0.500 0.000

***

Record 2
# K2ZnW2, optimized geometry, DFT GGA-PBEsol
# Crystal system ... tetragonal
# DFT formation energy ... 1.792 eV per atom
# Electronic total energy ... -45.00 eV for the cell shown
data_K2ZnW2
_chemical_formula_sum 'K4 Zn2 W4'
_cell_length_a 3.729
_cell_length_b 3.729
_cell_length_c 15.749
_cell_angle_alpha 90.00
_cell_angle_beta 90.00
_cell_angle_gamma 90.00
_space_group_name_H-M_alt 'I 4/m m m'
_space_group_IT_number 139
_space_group_name_Hall '-I 4 2'
loop_
_atom_site_label
_atom_site_fract_x
_atom_site_fract_y
_atom_site_fract_z
K1 0.000 0.500 0.250
Zn1 0.000 0.000 0.000
W1 0.000 0.000 0.431

***

Record 3
# TeMoRh2, optimized geometry, DFT GGA-PBEsol
# Crystal system ... orthorhombic
# Electronic total energy ... -31.12 eV for the cell shown
# Formation energy (no corrections) ... 113 meV/atom
data_TeMoRh2
_chemical_formula_sum 'Te1 Mo1 Rh2'
_cell_length_a 2.893
_cell_length_b 4.462
_cell_length_c 4.860
_cell_angle_alpha 90.00
_cell_angle_beta 90.00
_cell_angle_gamma 90.00
_space_group_name_H-M_alt 'P m m 2'
_space_group_IT_number 25
_space_group_name_Hall 'P 2 -2'
loop_
_atom_site_label
_atom_site_fract_x
_atom_site_fract_y
_atom_site_fract_z
Te1 0.000 0.000 0.000
Mo1 0.000 0.500 0.644
Rh1 0.500 0.000 0.486
Rh2 0.500 0.500 0.161

***

Record 4
# CaCd2Pt, optimized geometry, DFT GGA-PBEsol
# Crystal system ... orthorhombic
# DFT formation energy ... -0.154 eV per atom
# Electronic total energy ... -24.22 eV for the cell shown
data_CaCd2Pt
_chemical_formula_sum 'Ca2 Cd4 Pt2'
_cell_length_a 5.654
_cell_length_b 9.422
_cell_length_c 3.011
_cell_angle_alpha 90.00
_cell_angle_beta 90.00
_cell_angle_gamma 90.00
_space_group_name_H-M_alt 'C m m m'
_space_group_IT_number 65
_space_group_name_Hall '-C 2 2'
loop_
_atom_site_label
_atom_site_fract_x
_atom_site_fract_y
_atom_site_fract_z
Ca1 0.000 0.000 0.000
Cd1 0.250 0.250 0.500
Pt1 0.000 0.500 0.000

***

Question: What is the formula in the second record?
Answer: K2ZnW2